Rb3Ga6Sn5 | PBE | optimized geometry

Crystal system: orthorhombic
Formation energy from the elements: -110 meV per atom

a = 4.743 Å, b = 14.045 Å, c = 12.390 Å
α = 90.00°, β = 90.00°, γ = 90.00°
Space group Pmmn (No. 59, origin choice 2)
Unique sites:
Rb: 0.250 0.103 0.243 (multiplicity 4)
Rb: 0.250 0.750 0.257 (multiplicity 2)
Ga: 0.250 0.073 0.872 (multiplicity 4)
Ga: 0.250 0.250 0.521 (multiplicity 2)
Ga: 0.250 0.250 0.976 (multiplicity 2)
Ga: 0.250 0.581 0.487 (multiplicity 4)
Sn: 0.250 0.072 0.639 (multiplicity 4)
Sn: 0.250 0.604 0.998 (multiplicity 4)
Sn: 0.250 0.750 0.608 (multiplicity 2)

Sm5ErTm4 | PBE | optimized geometry

Crystal system: tetragonal
Formation energy from the elements: 305 meV per atom
Distance to the lowest polymorph of the same formula: 264 meV per atom

a = 10.186 Å, b = 10.186 Å, c = 6.288 Å
α = 90.00°, β = 90.00°, γ = 90.00°
Space group I4 (No. 79)
Unique sites:
Sm: 0.000 0.000 0.000 (multiplicity 2)
Sm: 0.147 0.767 0.270 (multiplicity 8)
Er: 0.000 0.000 0.540 (multiplicity 2)
Tm: 0.047 0.654 0.767 (multiplicity 8)

ZrTlNi2 | PBE | optimized geometry

Crystal system: tetragonal
Formation energy from the elements: -27 meV per atom

a = 4.437 Å, b = 4.437 Å, c = 3.382 Å
α = 90.00°, β = 90.00°, γ = 90.00°
Space group P4/mmm (No. 123)
Unique sites:
Zr: 0.000 0.000 0.000 (multiplicity 1)
Tl: 0.500 0.500 0.000 (multiplicity 1)
Ni: 0.000 0.500 0.500 (multiplicity 2)

Ac2TbNiS5 | PBE | optimized geometry

Formation energy from raw total energies: -16.272 eV per formula unit
Crystal system: orthorhombic

a = 4.024 Å, b = 16.960 Å, c = 12.345 Å
α = 90.00°, β = 90.00°, γ = 90.00°
Space group Cmc2_1 (No. 36)
Unique sites:
Ac: 0.000 0.120 0.000 (multiplicity 4)
Ac: 0.000 0.120 0.352 (multiplicity 4)
Tb: 0.000 0.178 0.679 (multiplicity 4)
Ni: 0.000 0.446 0.082 (multiplicity 4)
S: 0.000 0.020 0.661 (multiplicity 4)
S: 0.000 0.304 0.335 (multiplicity 4)
S: 0.000 0.313 0.024 (multiplicity 4)
S: 0.000 0.341 0.676 (multiplicity 4)
S: 0.000 0.498 0.414 (multiplicity 4)

Na2SnAs2 | PBE | optimized geometry

Crystal system: tetragonal
Formation energy from the elements: -180 meV per atom
Distance to the lowest polymorph of the same formula: 176 meV per atom

a = 8.582 Å, b = 8.582 Å, c = 3.057 Å
α = 90.00°, β = 90.00°, γ = 90.00°
Space group P4/mbm (No. 127)
Unique sites:
Na: 0.121 0.379 0.000 (multiplicity 4)
Sn: 0.000 0.000 0.500 (multiplicity 2)
As: 0.179 0.679 0.500 (multiplicity 4)

TbTlZnSe3 | PBE | optimized geometry

Formation energy from raw total energies: -6.749 eV per formula unit
Crystal system: monoclinic

a = 9.116 Å, b = 4.141 Å, c = 9.769 Å
α = 90.00°, β = 107.38°, γ = 90.00°
Space group P2_1/m (No. 11)
Unique sites:
Tb: 0.173 0.250 0.142 (multiplicity 2)
Tl: 0.290 0.750 0.778 (multiplicity 2)
Zn: 0.417 0.750 0.393 (multiplicity 2)
Se: 0.039 0.250 0.838 (multiplicity 2)
Se: 0.297 0.250 0.465 (multiplicity 2)
Se: 0.392 0.750 0.135 (multiplicity 2)

TmInPb3 | PBE | optimized geometry

Crystal system: monoclinic
Formation energy from the elements: -125 meV per atom

a = 11.231 Å, b = 4.421 Å, c = 7.976 Å
α = 90.00°, β = 134.05°, γ = 90.00°
Space group Cm (No. 8)
Unique sites:
Tm: 0.000 0.000 0.000 (multiplicity 2)
In: 0.293 0.500 0.193 (multiplicity 2)
Pb: 0.101 0.500 0.404 (multiplicity 2)
Pb: 0.208 0.000 0.831 (multiplicity 2)
Pb: 0.387 0.000 0.590 (multiplicity 2)

Sr5Au2N2 | PBE | optimized geometry

Formation energy from raw total energies: -5.344 eV per formula unit
Crystal system: monoclinic

a = 16.219 Å, b = 4.558 Å, c = 7.409 Å
α = 90.00°, β = 94.93°, γ = 90.00°
Space group C2/m (No. 12)
Unique sites:
Sr: 0.000 0.000 0.000 (multiplicity 2)
Sr: 0.124 0.000 0.598 (multiplicity 4)
Sr: 0.180 0.500 0.062 (multiplicity 4)
Au: 0.025 0.500 0.324 (multiplicity 4)
N: 0.157 0.000 0.915 (multiplicity 4)

Number 1: calculated density 5.10 g/cm³. Number 2: calculated density 8.12 g/cm³. Number 3: calculated density 10.30 g/cm³. Number 4: calculated density 6.56 g/cm³. Number 5: calculated density 4.64 g/cm³. Number 6: calculated density 6.28 g/cm³. Number 7: calculated density 10.56 g/cm³. Number 8: calculated density 5.23 g/cm³.